1.
First-principles (meta-GGA SCAN) data for a crystal of Mg4MoCl relaxed with PBEsol, as listed in Alexandria via LeMat-Bulk. Values from VASP.

Cell and atoms, written as Quantum ESPRESSO input:
```
&SYSTEM
  ibrav = 0, nat = 6, ntyp = 3
/
ATOMIC_SPECIES
Cl 35.45 Cl.upf
Mg 24.30 Mg.upf
Mo 95.94 Mo.upf
ATOMIC_POSITIONS crystal
Cl 0.0000 0.0000 0.0000
Mg 0.3767 0.3767 0.3767
Mg 0.3767 0.3767 0.8698
Mg 0.8698 0.3767 0.3767
Mg 0.3767 0.8698 0.3767
Mo 0.7500 0.7500 0.7500
CELL_PARAMETERS angstrom
5.5731 0.0000 0.0000
2.7865 4.8264 0.0000
2.7865 1.6088 4.5504
```

## Properties
Magnetization ... 3.3 μB per formula unit
Uncorrected formation energy ... 0.55 eV/atom
Space group ... F-43m
N(E_F) ... 2.3 states/eV per cell
Electronic total energy ... -59.5 eV for the cell shown

---

2.
First-principles (meta-GGA SCAN) data for a crystal of Cd2AgPb relaxed with PBEsol, as listed in Alexandria via LeMat-Bulk. Values from VASP.

Cell and atoms, written as Quantum ESPRESSO input:
```
&SYSTEM
  ibrav = 0, nat = 4, ntyp = 3
/
ATOMIC_SPECIES
Pb 207.20 Pb.upf
Ag 107.87 Ag.upf
Cd 112.41 Cd.upf
ATOMIC_POSITIONS crystal
Pb 0.0000 0.0000 0.5000
Ag 0.5000 0.0000 0.0000
Cd 0.7655 0.5309 0.7803
Cd 0.2345 0.4691 0.2197
CELL_PARAMETERS angstrom
3.2081 0.0000 0.0000
-1.6040 5.1000 -0.0632
0.0000 -1.3325 5.3981
```

## Properties
Magnetization ... 0.0 μB per formula unit
Space group ... C2/m
Formation enthalpy at 0 K ... 68 meV per atom
N(E_F) ... 1.1 states/eV per cell
Electronic total energy ... -167.7 eV for the cell shown

---

3.
First-principles (meta-GGA SCAN) data for a crystal of RbRhSCl2 relaxed with PBEsol, as listed in Alexandria via LeMat-Bulk. Values from VASP.

Cell and atoms, written as Quantum ESPRESSO input:
```
&SYSTEM
  ibrav = 0, nat = 5, ntyp = 4
/
ATOMIC_SPECIES
S 32.06 S.upf
Rh 102.91 Rh.upf
Rb 85.47 Rb.upf
Cl 35.45 Cl.upf
ATOMIC_POSITIONS crystal
S 0.5000 0.0000 0.0000
Rh 0.0000 0.0000 0.0000
Rb 0.5000 0.5000 0.5000
Cl 0.0000 0.0000 0.5000
Cl 0.0000 0.5000 0.0000
CELL_PARAMETERS angstrom
4.3676 0.0000 0.0000
0.0000 5.0915 0.0000
0.0000 0.0000 5.0915
```

## Properties
Magnetization ... 0.0 μB per formula unit
Uncorrected formation energy ... -0.94 eV/atom
Space group ... P4/mmm
N(E_F) ... 1.7 states/eV per cell
Electronic total energy ... -84.8 eV for the cell shown

---

4.
First-principles (meta-GGA SCAN) data for a crystal of Co8Au relaxed with PBEsol, as listed in Alexandria via LeMat-Bulk. Values from VASP.

Cell and atoms, written as Quantum ESPRESSO input:
```
&SYSTEM
  ibrav = 0, nat = 9, ntyp = 2
/
ATOMIC_SPECIES
Au 196.97 Au.upf
Co 58.93 Co.upf
ATOMIC_POSITIONS crystal
Au 0.0000 0.0000 0.0000
Co 0.0000 0.6575 0.3425
Co 0.0000 0.3425 0.6575
Co 0.3425 0.6575 0.6575
Co 0.3228 0.3543 0.0000
Co 0.3228 0.0000 0.3543
Co 0.6575 0.3425 0.3425
Co 0.6772 0.0000 0.6457
Co 0.6772 0.6457 0.0000
CELL_PARAMETERS angstrom
-0.2542 3.1816 -1.5331
-3.7680 -0.3228 -4.1342
-3.9816 2.9254 2.6424
```

## Properties
Magnetization ... 14.6 μB per formula unit
Space group ... I4/mmm
Formation enthalpy at 0 K ... 75 meV per atom
N(E_F) ... 5.4 states/eV per cell
Electronic total energy ... -206.9 eV for the cell shown

---

5.
First-principles (meta-GGA SCAN) data for a crystal of Ce2Se3O9 relaxed with PBEsol, as listed in Alexandria via LeMat-Bulk. Values from VASP.

Cell and atoms, written as Quantum ESPRESSO input:
```
&SYSTEM
  ibrav = 0, nat = 56, ntyp = 3
/
ATOMIC_SPECIES
Ce 140.12 Ce.upf
Se 78.96 Se.upf
O 16.00 O.upf
ATOMIC_POSITIONS crystal
Ce 0.3172 0.6990 0.0621
Ce 0.3172 0.6990 0.4379
Ce 0.8172 0.8010 0.9379
Ce 0.6828 0.3010 0.5621
Ce 0.6828 0.3010 0.9379
Ce 0.1828 0.1990 0.0621
Ce 0.1828 0.1990 0.4379
Ce 0.8172 0.8010 0.5621
Se 0.8205 0.5460 0.3723
Se 0.9094 0.0425 0.7500
Se 0.6795 0.0460 0.1277
Se 0.3205 0.9540 0.6277
Se 0.6795 0.0460 0.3723
Se 0.8205 0.5460 0.1277
Se 0.1795 0.4540 0.6277
Se 0.0906 0.9575 0.2500
Se 0.1795 0.4540 0.8723
Se 0.5906 0.5425 0.7500
Se 0.3205 0.9540 0.8723
Se 0.4094 0.4575 0.2500
O 0.8550 0.0734 0.4594
O 0.9155 0.3814 0.0725
O 0.8550 0.0734 0.0406
O 0.0845 0.6186 0.9275
O 0.2427 0.9460 0.3474
O 0.7427 0.5540 0.8474
O 0.9665 0.7071 0.1008
O 0.7427 0.5540 0.6526
O 0.3550 0.4266 0.9594
O 0.1450 0.9266 0.5406
O 0.2573 0.4460 0.1526
O 0.4155 0.1186 0.9275
O 0.9665 0.7071 0.3992
O 0.2427 0.9460 0.1526
O 0.5335 0.2071 0.1008
O 0.0335 0.2929 0.8992
O 0.5845 0.8814 0.0725
O 0.9344 0.8375 0.7500
O 0.5335 0.2071 0.3992
O 0.4155 0.1186 0.5725
O 0.5845 0.8814 0.4275
O 0.1450 0.9266 0.9594
O 0.6450 0.5734 0.4594
O 0.3550 0.4266 0.5406
O 0.4344 0.6625 0.2500
O 0.4665 0.7929 0.8992
O 0.6450 0.5734 0.0406
O 0.0845 0.6186 0.5725
O 0.5656 0.3375 0.7500
O 0.9155 0.3814 0.4275
O 0.0656 0.1625 0.2500
O 0.4665 0.7929 0.6008
O 0.0335 0.2929 0.6008
O 0.2573 0.4460 0.3474
O 0.7573 0.0540 0.8474
O 0.7573 0.0540 0.6526
CELL_PARAMETERS angstrom
6.9442 0.0000 0.0000
0.0000 8.3266 0.0000
0.0000 0.0000 14.0546
```

## Properties
Magnetization ... 2.0 μB per formula unit
Uncorrected formation energy ... -2.02 eV/atom
Space group ... Pnma
N(E_F) ... 0.1 states/eV per cell
Electronic total energy ... -935.1 eV for the cell shown

---

6.
First-principles (meta-GGA SCAN) data for a crystal of BaLaPb2Br relaxed with PBEsol, as listed in Alexandria via LeMat-Bulk. Values from VASP.

Cell and atoms, written as Quantum ESPRESSO input:
```
&SYSTEM
  ibrav = 0, nat = 5, ntyp = 4
/
ATOMIC_SPECIES
Pb 207.20 Pb.upf
Ba 137.33 Ba.upf
Br 79.90 Br.upf
La 138.91 La.upf
ATOMIC_POSITIONS crystal
Pb 0.0000 0.0000 0.5000
Pb 0.0000 0.5000 0.0000
Ba 0.5000 0.5000 0.5000
Br 0.0000 0.0000 0.0000
La 0.5000 0.0000 0.0000
CELL_PARAMETERS angstrom
-0.3919 3.3387 -4.2883
-5.6003 1.2801 1.5084
1.9317 4.5160 3.3394
```

## Properties
Magnetization ... 0.0 μB per formula unit
Uncorrected formation energy ... -0.38 eV/atom
Space group ... P4/mmm
N(E_F) ... 3.0 states/eV per cell
Electronic total energy ... -255.6 eV for the cell shown

---

The highest magnetization belongs to which entry? Co8Au

---

What is the magnetization in the third record? 0.0 μB per formula unit

---

Repeat the fourth record exactly.
First-principles (meta-GGA SCAN) data for a crystal of Co8Au relaxed with PBEsol, as listed in Alexandria via LeMat-Bulk. Values from VASP.

Cell and atoms, written as Quantum ESPRESSO input:
```
&SYSTEM
  ibrav = 0, nat = 9, ntyp = 2
/
ATOMIC_SPECIES
Au 196.97 Au.upf
Co 58.93 Co.upf
ATOMIC_POSITIONS crystal
Au 0.0000 0.0000 0.0000
Co 0.0000 0.6575 0.3425
Co 0.0000 0.3425 0.6575
Co 0.3425 0.6575 0.6575
Co 0.3228 0.3543 0.0000
Co 0.3228 0.0000 0.3543
Co 0.6575 0.3425 0.3425
Co 0.6772 0.0000 0.6457
Co 0.6772 0.6457 0.0000
CELL_PARAMETERS angstrom
-0.2542 3.1816 -1.5331
-3.7680 -0.3228 -4.1342
-3.9816 2.9254 2.6424
```

## Properties
Magnetization ... 14.6 μB per formula unit
Space group ... I4/mmm
Formation enthalpy at 0 K ... 75 meV per atom
N(E_F) ... 5.4 states/eV per cell
Electronic total energy ... -206.9 eV for the cell shown